# GdPuInAu, optimized geometry, DFT GGA-PBE
data_GdPuInAu
_chemical_formula_sum 'Gd1 Pu1 In1 Au1'
_space_group_name_H-M_alt 'P 1'
_space_group_IT_number 1
_cell_length_a 5.275
_cell_length_b 5.275
_cell_length_c 5.275
_cell_angle_alpha 60.00
_cell_angle_beta 60.00
_cell_angle_gamma 60.00
loop_
_space_group_symop_operation_xyz
'x,y,z'
loop_
_atom_site_label
_atom_site_type_symbol
_atom_site_fract_x
_atom_site_fract_y
_atom_site_fract_z
Gd1 Gd 0.250 0.250 0.250
Pu1 Pu 0.750 0.750 0.750
In1 In 0.000 0.000 0.000
Au1 Au 0.500 0.500 0.500
# Formation energy: -382 meV per atom
# Energy: -36.0 eV/f.u.
# M_tot: 12.807 μB/f.u.
# Space-group type: No. 216
# D(E_F): 11.2 states/eV/f.u.


# AcCdSb3Pb, optimized geometry, DFT GGA-PBE
data_AcCdSb3Pb
_chemical_formula_sum 'Ac2 Cd2 Sb6 Pb2'
_space_group_name_H-M_alt 'P 1'
_space_group_IT_number 1
_cell_length_a 4.760
_cell_length_b 9.088
_cell_length_c 9.510
_cell_angle_alpha 94.78
_cell_angle_beta 90.00
_cell_angle_gamma 90.00
loop_
_space_group_symop_operation_xyz
'x,y,z'
loop_
_atom_site_label
_atom_site_type_symbol
_atom_site_fract_x
_atom_site_fract_y
_atom_site_fract_z
Sb1 Sb 0.750 0.264 0.495
Sb2 Sb 0.250 0.736 0.505
Sb3 Sb 0.750 0.859 0.136
Sb4 Sb 0.250 0.613 0.782
Sb5 Sb 0.250 0.141 0.864
Sb6 Sb 0.750 0.387 0.218
Pb1 Pb 0.750 0.381 0.851
Pb2 Pb 0.250 0.619 0.149
Cd1 Cd 0.250 0.090 0.567
Cd2 Cd 0.750 0.910 0.433
Ac1 Ac 0.250 0.122 0.204
Ac2 Ac 0.750 0.878 0.796
# Energy: -23.0 eV/f.u.
# M_tot: 0.000 μB/f.u.
# Energy relative to the elements, uncorrected: -0.322 eV/atom
# Space-group type: No. 11
# D(E_F): 2.4 states/eV/f.u.


# Ac5PrAg6, optimized geometry, DFT GGA-PBE
data_Ac5PrAg6
_chemical_formula_sum 'Ac5 Pr1 Ag6'
_space_group_name_H-M_alt 'P 1'
_space_group_IT_number 1
_cell_length_a 5.594
_cell_length_b 7.800
_cell_length_c 8.837
_cell_angle_alpha 90.00
_cell_angle_beta 71.55
_cell_angle_gamma 90.00
loop_
_space_group_symop_operation_xyz
'x,y,z'
loop_
_atom_site_label
_atom_site_type_symbol
_atom_site_fract_x
_atom_site_fract_y
_atom_site_fract_z
Ac1 Ac 0.000 0.500 0.000
Ac2 Ac 0.333 0.500 0.334
Ac3 Ac 0.666 0.000 0.668
Ac4 Ac 0.667 0.500 0.666
Ac5 Ac 0.334 0.000 0.332
Ag1 Ag 0.163 0.246 0.674
Ag2 Ag 0.500 0.761 0.000
Ag3 Ag 0.500 0.239 0.000
Ag4 Ag 0.163 0.754 0.674
Ag5 Ag 0.837 0.754 0.326
Ag6 Ag 0.837 0.246 0.326
Pr1 Pr 0.000 0.000 0.000
# Formation energy: -253 meV per atom
# Energy: -45.5 eV/f.u.
# M_tot: 0.000 μB/f.u.
# Space-group type: No. 65
# D(E_F): 8.7 states/eV/f.u.


# LiNiCl4, optimized geometry, DFT GGA-PBE
data_LiNiCl4
_chemical_formula_sum 'Li1 Ni1 Cl4'
_space_group_name_H-M_alt 'P 1'
_space_group_IT_number 1
_cell_length_a 5.942
_cell_length_b 5.942
_cell_length_c 5.942
_cell_angle_alpha 60.00
_cell_angle_beta 60.00
_cell_angle_gamma 60.00
loop_
_space_group_symop_operation_xyz
'x,y,z'
loop_
_atom_site_label
_atom_site_type_symbol
_atom_site_fract_x
_atom_site_fract_y
_atom_site_fract_z
Cl1 Cl 0.375 0.375 0.375
Cl2 Cl 0.375 0.375 0.876
Cl3 Cl 0.876 0.375 0.375
Cl4 Cl 0.375 0.876 0.375
Ni1 Ni 0.000 0.000 0.000
Li1 Li 0.750 0.750 0.750
# Energy: -12.2 eV/f.u.
# M_tot: 3.030 μB/f.u.
# Energy relative to the elements, uncorrected: 0.487 eV/atom
# Space-group type: No. 216
# D(E_F): 8.4 states/eV/f.u.


# K2AgIr, optimized geometry, DFT GGA-PBE
data_K2AgIr
_chemical_formula_sum 'K2 Ag1 Ir1'
_space_group_name_H-M_alt 'P 1'
_space_group_IT_number 1
_cell_length_a 5.416
_cell_length_b 5.416
_cell_length_c 5.416
_cell_angle_alpha 60.00
_cell_angle_beta 60.00
_cell_angle_gamma 60.00
loop_
_space_group_symop_operation_xyz
'x,y,z'
loop_
_atom_site_label
_atom_site_type_symbol
_atom_site_fract_x
_atom_site_fract_y
_atom_site_fract_z
K1 K 0.750 0.750 0.750
K2 K 0.250 0.250 0.250
Ag1 Ag 0.000 0.000 0.000
Ir1 Ir 0.500 0.500 0.500
# Formation energy: 949 meV per atom
# Energy: -10.1 eV/f.u.
# M_tot: 0.091 μB/f.u.
# Space-group type: No. 225
# Energy relative to the lowest polymorph listed for this composition: 165 kJ/mol of formula units
# D(E_F): 6.3 states/eV/f.u.


# SmY6Ho2, optimized geometry, DFT GGA-PBE
data_SmY6Ho2
_chemical_formula_sum 'Sm2 Y12 Ho4'
_space_group_name_H-M_alt 'P 1'
_space_group_IT_number 1
_cell_length_a 5.736
_cell_length_b 11.862
_cell_length_c 11.862
_cell_angle_alpha 47.96
_cell_angle_beta 103.90
_cell_angle_gamma 103.90
loop_
_space_group_symop_operation_xyz
'x,y,z'
loop_
_atom_site_label
_atom_site_type_symbol
_atom_site_fract_x
_atom_site_fract_y
_atom_site_fract_z
Y1 Y 0.698 0.334 0.498
Y2 Y 0.866 0.166 0.002
Y3 Y 0.417 0.417 0.917
Y4 Y 0.634 0.998 0.834
Y5 Y 0.366 0.002 0.166
Y6 Y 0.302 0.666 0.502
Y7 Y 0.802 0.502 0.666
Y8 Y 0.134 0.834 0.998
Y9 Y 0.198 0.498 0.334
Y10 Y 0.583 0.583 0.083
Y11 Y 0.083 0.083 0.583
Y12 Y 0.917 0.917 0.417
Sm1 Sm 0.750 0.749 0.251
Sm2 Sm 0.250 0.251 0.749
Ho1 Ho 0.535 0.832 0.668
Ho2 Ho 0.465 0.168 0.332
Ho3 Ho 0.965 0.332 0.168
Ho4 Ho 0.035 0.668 0.832
# Formation energy: 68 meV per atom
# Energy: -52.1 eV/f.u.
# M_tot: 0.000 μB/f.u.
# Space-group type: No. 15
# Energy relative to the lowest polymorph listed for this composition: 0 kJ/mol of formula units
# D(E_F): 15.6 states/eV/f.u.


# MnNiHRh2, optimized geometry, DFT GGA-PBE
data_MnNiHRh2
_chemical_formula_sum 'Mn1 Ni1 H1 Rh2'
_space_group_name_H-M_alt 'P 1'
_space_group_IT_number 1
_cell_length_a 3.884
_cell_length_b 3.884
_cell_length_c 3.664
_cell_angle_alpha 90.00
_cell_angle_beta 90.00
_cell_angle_gamma 90.00
loop_
_space_group_symop_operation_xyz
'x,y,z'
loop_
_atom_site_label
_atom_site_type_symbol
_atom_site_fract_x
_atom_site_fract_y
_atom_site_fract_z
Mn1 Mn 0.500 0.500 0.500
Rh1 Rh 0.500 0.000 0.000
Rh2 Rh 0.000 0.500 0.000
H1 H 0.000 0.000 0.000
Ni1 Ni 0.000 0.000 0.500
# Energy: -33.5 eV/f.u.
# M_tot: 4.041 μB/f.u.
# Space-group type: No. 123
# Energy relative to the lowest polymorph listed for this composition: 0 kJ/mol of formula units
# D(E_F): 4.1 states/eV/f.u.


# SrMoS2N, optimized geometry, DFT GGA-PBE
data_SrMoS2N
_chemical_formula_sum 'Sr1 Mo1 S2 N1'
_space_group_name_H-M_alt 'P 1'
_space_group_IT_number 1
_cell_length_a 5.494
_cell_length_b 5.494
_cell_length_c 4.650
_cell_angle_alpha 90.00
_cell_angle_beta 90.00
_cell_angle_gamma 90.00
loop_
_space_group_symop_operation_xyz
'x,y,z'
loop_
_atom_site_label
_atom_site_type_symbol
_atom_site_fract_x
_atom_site_fract_y
_atom_site_fract_z
S1 S 0.000 0.500 0.000
S2 S 0.500 0.000 0.000
N1 N 0.000 0.000 0.500
Sr1 Sr 0.000 0.000 0.000
Mo1 Mo 0.500 0.500 0.500
# Energy: -22.3 eV/f.u.
# M_tot: 0.989 μB/f.u.
# Energy relative to the elements, uncorrected: 1.366 eV/atom
# Space-group type: No. 123
# Energy relative to the lowest polymorph listed for this composition: 1069 kJ/mol of formula units
# D(E_F): 3.4 states/eV/f.u.


Which of these has the highest energy?
K2AgIr